# 1
# Sr3Mg3Al8

A relaxed structure of Sr3Mg3Al8 (PBE, Alexandria via LeMat-Bulk).

Cell and atoms, written as POSCAR:
```
Sr3Mg3Al8
1.0
-2.3012 5.1505 6.9835
2.3012 -5.1505 6.9835
2.3012 5.1505 -6.9835
Sr Mg Al
3 3 8
direct
0.0000 0.0000 0.0000
0.3015 0.3015 0.0000
0.6985 0.6985 0.0000
0.2978 0.5000 0.7978
0.5000 0.0000 0.5000
0.7022 0.5000 0.2022
0.0314 0.6632 0.3682
0.1213 0.8493 0.2719
0.2950 0.6632 0.6318
0.4226 0.1507 0.2719
0.5774 0.8493 0.7281
0.7050 0.3368 0.3682
0.8787 0.1507 0.7281
0.9686 0.3368 0.6318
```

Summary:
* ΔE_f: -2.76 eV/f.u.
* space group: Immm (71)

***

# 2
# Pm4Ho5Sc

A relaxed structure of Pm4Ho5Sc (PBE, Alexandria via LeMat-Bulk).

Cell and atoms, written as POSCAR:
```
Pm4Ho5Sc
1.0
3.4965 0.0000 0.0000
1.7362 8.5173 0.0000
0.0020 0.2314 11.0506
Pm Ho Sc
4 5 1
direct
0.0276 0.4441 0.2437
0.3430 0.8177 0.2525
0.6570 0.1823 0.7475
0.9724 0.5559 0.7563
0.1692 0.1600 0.0465
0.1730 0.1533 0.4443
0.5000 0.5000 0.5000
0.8270 0.8467 0.5557
0.8308 0.8400 0.9535
0.5000 0.5000 0.0000
```

Summary:
* ΔE_f: 1.89 eV/f.u.
* space group: P-1 (2)

***

# 3
# NdLuMn4

A relaxed structure of NdLuMn4 (PBE, Alexandria via LeMat-Bulk).

Cell and atoms, written as POSCAR:
```
NdLuMn4
1.0
0.0000 3.6507 3.6507
3.6507 0.0000 3.6507
3.6507 3.6507 0.0000
Nd Lu Mn
1 1 4
direct
0.0000 0.0000 0.0000
0.2500 0.2500 0.2500
0.1283 0.6239 0.6239
0.6239 0.1283 0.6239
0.6239 0.6239 0.1283
0.6239 0.6239 0.6239
```

Summary:
* ΔE_f: 1.16 eV/f.u.
* space group: F-43m (216)

***

# 4
# ScTa2HN

A relaxed structure of ScTa2HN (PBE, Alexandria via LeMat-Bulk).

Cell and atoms, written as POSCAR:
```
ScTa2HN
1.0
3.8142 0.0000 0.0000
0.0000 3.8142 0.0000
0.0000 0.0000 4.7985
Sc Ta H N
1 2 1 1
direct
0.0000 0.0000 0.0000
0.0000 0.5000 0.5000
0.5000 0.0000 0.5000
0.0000 0.0000 0.5000
0.5000 0.5000 0.0000
```

Summary:
* space group: P4/mmm (123)
* DFT total energy: -38.67 eV per cell

***

# 5
# NpURu

A relaxed structure of NpURu (PBE, Alexandria via LeMat-Bulk).

Cell and atoms, written as POSCAR:
```
NpURu
1.0
2.5379 -2.1965 0.0000
2.5379 2.1965 0.0000
-1.6312 0.0000 4.9459
Np U Ru
1 1 1
direct
0.0000 0.0000 0.0000
0.6832 0.6832 0.2802
0.3392 0.3392 0.6464
```

Summary:
* ΔE_f: -0.33 eV/f.u.
* space group: Cm (8)

***

# 6
# CeSm2YAs4

A relaxed structure of CeSm2YAs4 (PBE, Alexandria via LeMat-Bulk).

Cell and atoms, written as POSCAR:
```
CeSm2YAs4
1.0
7.2505 0.0000 0.0000
0.0000 4.1919 0.0000
-2.4125 0.0000 6.8494
Ce Sm Y As
1 2 1 4
direct
0.0000 0.0000 0.0000
0.0000 0.5000 0.5000
0.5000 0.0000 0.5000
0.5000 0.5000 0.0000
0.2500 0.5000 0.2464
0.2521 0.0000 0.7550
0.7479 0.0000 0.2450
0.7500 0.5000 0.7536
```

Summary:
* ΔE_f: -12.11 eV/f.u.
* space group: P2/m (10)